Record 1
The following is a DFT calculation (SCAN) of a crystal of TlHgSb2 relaxed with PBEsol.

Cell and atoms, written as CIF:
```
data_TlHgSb2
_chemical_formula_sum 'Tl2 Hg2 Sb4'
_cell_length_a 3.9484
_cell_length_b 5.1644
_cell_length_c 10.8631
_cell_angle_alpha 90.00
_cell_angle_beta 90.00
_cell_angle_gamma 90.00
_space_group_name_H-M_alt 'I m m 2'
_space_group_IT_number 44
_space_group_name_Hall 'I 2 -2'
loop_
_atom_site_label
_atom_site_type_symbol
_atom_site_fract_x
_atom_site_fract_y
_atom_site_fract_z
Tl1 Tl 0.0000 0.0000 0.0000
Hg1 Hg 0.0000 0.5000 0.7828
Sb1 Sb 0.0000 0.0000 0.5347
Sb2 Sb 0.0000 0.5000 0.2304
```

formation energy from raw total energies = 94 meV per atom
excess energy over the best structure of this formula in the dataset = 36 meV/atom

Record 2
The following is a DFT calculation (SCAN) of a crystal of Gd3AlN relaxed with PBEsol.

Cell and atoms, written as CIF:
```
data_Gd3AlN
_chemical_formula_sum 'Gd3 Al1 N1'
_cell_length_a 4.7757
_cell_length_b 4.7757
_cell_length_c 4.7757
_cell_angle_alpha 90.00
_cell_angle_beta 90.00
_cell_angle_gamma 90.00
_space_group_name_H-M_alt 'P m -3 m'
_space_group_IT_number 221
_space_group_name_Hall '-P 4 2 3'
loop_
_atom_site_label
_atom_site_type_symbol
_atom_site_fract_x
_atom_site_fract_y
_atom_site_fract_z
Gd1 Gd 0.0000 0.0000 0.5000
Al1 Al 0.5000 0.5000 0.5000
N1 N 0.0000 0.0000 0.0000
```

formation energy from raw total energies = -946 meV per atom

Record 3
The following is a DFT calculation (SCAN) of a crystal of KReCl2 relaxed with PBEsol.

Cell and atoms, written as CIF:
```
data_KReCl2
_chemical_formula_sum 'K2 Re2 Cl4'
_cell_length_a 3.9280
_cell_length_b 3.9280
_cell_length_c 12.7819
_cell_angle_alpha 90.00
_cell_angle_beta 90.00
_cell_angle_gamma 90.00
_space_group_name_H-M_alt 'I -4 m 2'
_space_group_IT_number 119
_space_group_name_Hall 'I -4 -2'
loop_
_atom_site_label
_atom_site_type_symbol
_atom_site_fract_x
_atom_site_fract_y
_atom_site_fract_z
K1 K 0.0000 0.0000 0.0000
Re1 Re 0.0000 0.5000 0.2500
Cl1 Cl 0.0000 0.0000 0.5000
Cl2 Cl 0.0000 0.5000 0.7500
```

formation energy from raw total energies = 374 meV per atom
excess energy over the best structure of this formula in the dataset = 175 meV/atom

Record 4
The following is a DFT calculation (SCAN) of a crystal of Ba2Ag relaxed with PBEsol.

Cell and atoms, written as CIF:
```
data_Ba2Ag
_chemical_formula_sum 'Ba8 Ag4'
_cell_length_a 8.1294
_cell_length_b 8.1294
_cell_length_c 8.1294
_cell_angle_alpha 90.00
_cell_angle_beta 90.00
_cell_angle_gamma 90.00
_space_group_name_H-M_alt 'P a -3'
_space_group_IT_number 205
_space_group_name_Hall '-P 2ac 2ab 3'
loop_
_atom_site_label
_atom_site_type_symbol
_atom_site_fract_x
_atom_site_fract_y
_atom_site_fract_z
Ba1 Ba 0.1679 0.1679 0.1679
Ag1 Ag 0.0000 0.0000 0.5000
```

ΔH_f (0 K) = -0.147 eV/atom
excess energy over the best structure of this formula in the dataset = 32 meV/atom

Record 5
The following is a DFT calculation (SCAN) of a crystal of BeSiCl relaxed with PBEsol.

Cell and atoms, written as CIF:
```
data_BeSiCl
_chemical_formula_sum 'Be1 Si1 Cl1'
_cell_length_a 2.9415
_cell_length_b 2.9415
_cell_length_c 6.8376
_cell_angle_alpha 90.00
_cell_angle_beta 90.00
_cell_angle_gamma 120.00
_space_group_name_H-M_alt 'P 3 m 1'
_space_group_IT_number 156
_space_group_name_Hall 'P 3 -2"'
loop_
_atom_site_label
_atom_site_type_symbol
_atom_site_fract_x
_atom_site_fract_y
_atom_site_fract_z
Be1 Be 0.0000 0.0000 0.0000
Si1 Si 0.6667 0.3333 0.2791
Cl1 Cl 0.3333 0.6667 0.8184
```

formation energy from raw total energies = 17 meV per atom
excess energy over the best structure of this formula in the dataset = 0 meV/atom

Record 6
The following is a DFT calculation (SCAN) of a crystal of BaPtW relaxed with PBEsol.

Cell and atoms, written as CIF:
```
data_BaPtW
_chemical_formula_sum 'Ba2 Pt2 W2'
_cell_length_a 3.2526
_cell_length_b 3.2526
_cell_length_c 13.0441
_cell_angle_alpha 90.00
_cell_angle_beta 90.00
_cell_angle_gamma 90.00
_space_group_name_H-M_alt 'I 4 m m'
_space_group_IT_number 107
_space_group_name_Hall 'I 4 -2'
loop_
_atom_site_label
_atom_site_type_symbol
_atom_site_fract_x
_atom_site_fract_y
_atom_site_fract_z
Ba1 Ba 0.0000 0.0000 0.0000
Pt1 Pt 0.0000 0.0000 0.2968
W1 W 0.0000 0.0000 0.7062
```

ΔH_f (0 K) = 0.422 eV/atom

Record 7
The following is a DFT calculation (SCAN) of a crystal of V3Rh5 relaxed with PBEsol.

Cell and atoms, written as CIF:
```
data_V3Rh5
_chemical_formula_sum 'V6 Rh10'
_cell_length_a 4.2652
_cell_length_b 5.3594
_cell_length_c 9.2093
_cell_angle_alpha 90.00
_cell_angle_beta 90.00
_cell_angle_gamma 90.00
_space_group_name_H-M_alt 'A m m 2'
_space_group_IT_number 38
_space_group_name_Hall 'A 2 -2'
loop_
_atom_site_label
_atom_site_type_symbol
_atom_site_fract_x
_atom_site_fract_y
_atom_site_fract_z
V1 V 0.0000 0.0000 0.0000
V2 V 0.0000 0.0000 0.4949
V3 V 0.5000 0.0000 0.6711
Rh1 Rh 0.0000 0.2505 0.2414
Rh2 Rh 0.5000 0.0000 0.1661
Rh3 Rh 0.5000 0.2501 0.4206
```

ΔH_f (0 K) = -0.439 eV/atom

Record 8
The following is a DFT calculation (SCAN) of a crystal of LaAu3F12 relaxed with PBEsol.

Cell and atoms, written as CIF:
```
data_LaAu3F12
_chemical_formula_sum 'La6 Au18 F72'
_cell_length_a 10.5791
_cell_length_b 10.5791
_cell_length_c 16.2020
_cell_angle_alpha 90.00
_cell_angle_beta 90.00
_cell_angle_gamma 120.00
_space_group_name_H-M_alt 'R -3 c'
_space_group_IT_number 167
_space_group_name_Hall '-R 3 2"c'
loop_
_atom_site_label
_atom_site_type_symbol
_atom_site_fract_x
_atom_site_fract_y
_atom_site_fract_z
La1 La 0.0000 0.0000 0.2500
Au1 Au 0.0000 0.4112 0.2500
F1 F 0.0000 0.2266 0.2500
F2 F 0.0000 0.4084 0.7500
F3 F 0.0157 0.1625 0.8614
```

formation energy from raw total energies = -1978 meV per atom

Record 9
The following is a DFT calculation (SCAN) of a crystal of Ta5Al relaxed with PBEsol.

Cell and atoms, written as CIF:
```
data_Ta5Al
_chemical_formula_sum 'Ta10 Al2'
_cell_length_a 3.4391
_cell_length_b 13.3874
_cell_length_c 4.5084
_cell_angle_alpha 90.00
_cell_angle_beta 90.00
_cell_angle_gamma 90.00
_space_group_name_H-M_alt 'C m m m'
_space_group_IT_number 65
_space_group_name_Hall '-C 2 2'
loop_
_atom_site_label
_atom_site_type_symbol
_atom_site_fract_x
_atom_site_fract_y
_atom_site_fract_z
Ta1 Ta 0.0000 0.0000 0.0000
Ta2 Ta 0.0000 0.1649 0.5000
Ta3 Ta 0.0000 0.3364 0.0000
Al1 Al 0.0000 0.5000 0.5000
```

ΔH_f (0 K) = -0.079 eV/atom
excess energy over the best structure of this formula in the dataset = 0 meV/atom

Record 10
The following is a DFT calculation (SCAN) of a crystal of KCuSb2C relaxed with PBEsol.

Cell and atoms, written as CIF:
```
data_KCuSb2C
_chemical_formula_sum 'K1 Cu1 Sb2 C1'
_cell_length_a 5.6412
_cell_length_b 5.6412
_cell_length_c 4.2293
_cell_angle_alpha 90.00
_cell_angle_beta 90.00
_cell_angle_gamma 90.00
_space_group_name_H-M_alt 'P 4/m m m'
_space_group_IT_number 123
_space_group_name_Hall '-P 4 2'
loop_
_atom_site_label
_atom_site_type_symbol
_atom_site_fract_x
_atom_site_fract_y
_atom_site_fract_z
K1 K 0.0000 0.0000 0.0000
Cu1 Cu 0.5000 0.5000 0.5000
Sb1 Sb 0.0000 0.5000 0.0000
C1 C 0.0000 0.0000 0.5000
```

formation energy from raw total energies = 2641 meV per atom

Record 11
The following is a DFT calculation (SCAN) of a crystal of GaBi2IrOs relaxed with PBEsol.

Cell and atoms, written as CIF:
```
data_GaBi2IrOs
_chemical_formula_sum 'Ga1 Bi2 Ir1 Os1'
_cell_length_a 5.2167
_cell_length_b 5.2167
_cell_length_c 4.5694
_cell_angle_alpha 90.00
_cell_angle_beta 90.00
_cell_angle_gamma 90.00
_space_group_name_H-M_alt 'P 4/m m m'
_space_group_IT_number 123
_space_group_name_Hall '-P 4 2'
loop_
_atom_site_label
_atom_site_type_symbol
_atom_site_fract_x
_atom_site_fract_y
_atom_site_fract_z
Ga1 Ga 0.0000 0.0000 0.0000
Bi1 Bi 0.0000 0.5000 0.5000
Ir1 Ir 0.0000 0.0000 0.5000
Os1 Os 0.5000 0.5000 0.0000
```

ΔH_f (0 K) = 1.264 eV/atom

Record 12
The following is a DFT calculation (SCAN) of a crystal of KCrCl2 relaxed with PBEsol.

Cell and atoms, written as CIF:
```
data_KCrCl2
_chemical_formula_sum 'K1 Cr1 Cl2'
_cell_length_a 3.4365
_cell_length_b 4.9984
_cell_length_c 5.0089
_cell_angle_alpha 90.00
_cell_angle_beta 90.00
_cell_angle_gamma 90.00
_space_group_name_H-M_alt 'P m m m'
_space_group_IT_number 47
_space_group_name_Hall '-P 2 2'
loop_
_atom_site_label
_atom_site_type_symbol
_atom_site_fract_x
_atom_site_fract_y
_atom_site_fract_z
K1 K 0.0000 0.0000 0.0000
Cr1 Cr 0.0000 0.5000 0.5000
Cl1 Cl 0.5000 0.0000 0.5000
Cl2 Cl 0.5000 0.5000 0.0000
```

formation energy from raw total energies = -1137 meV per atom

Number 1: density of states at the Fermi level 3.0 states/eV/cell, energy -429.34 eV/cell. Number 2: density of states at the Fermi level 1.3 states/eV/cell, energy -198.22 eV/cell. Number 3: density of states at the Fermi level 6.1 states/eV/cell, energy -187.77 eV/cell. Number 4: density of states at the Fermi level 12.2 states/eV/cell, energy -443.64 eV/cell. Number 5: density of states at the Fermi level 1.5 states/eV/cell, energy -22.30 eV/cell. Number 6: density of states at the Fermi level 5.9 states/eV/cell, energy -356.33 eV/cell. Number 7: density of states at the Fermi level 14.8 states/eV/cell, energy -449.66 eV/cell. Number 8: density of states at the Fermi level 0.0 states/eV/cell, energy -1948.22 eV/cell. Number 9: density of states at the Fermi level 10.5 states/eV/cell, energy -682.28 eV/cell. Number 10: density of states at the Fermi level 4.4 states/eV/cell, energy -94.95 eV/cell. Number 11: density of states at the Fermi level 4.3 states/eV/cell, energy -310.17 eV/cell. Number 12: density of states at the Fermi level 1.8 states/eV/cell, energy -47.22 eV/cell.